[1]
Tb4Zn2Ag5 after structural relaxation, computed with PBE.

Lattice parameters (Å, degrees): 7.5192 3.7727 8.8645 90.00 90.11 90.00
Last column: nearest neighbours and their distance in Å.
Atoms (fractional coordinates):
1 Tb 0.2079 0.0000 0.1373  2 Zn 3.02, 8 Ag 3.06-3.22
2 Tb 0.2610 0.0000 0.6085  6 Ag 3.07-3.20, 4 Zn 3.10-3.16
3 Tb 0.7390 0.0000 0.3915  6 Ag 3.07-3.20, 4 Zn 3.10-3.16
4 Tb 0.7921 0.0000 0.8627  2 Zn 3.02, 8 Ag 3.06-3.22
5 Zn 0.0657 0.5000 0.3743  1 Zn 2.44, 2 Ag 2.67-2.68
6 Zn 0.9343 0.5000 0.6257  1 Zn 2.44, 2 Ag 2.67-2.68
7 Ag 0.1391 0.5000 0.8724  1 Zn 2.67, 1 Ag 2.94
8 Ag 0.4203 0.5000 0.3498  1 Zn 2.68, 1 Ag 2.92
9 Ag 0.5000 0.5000 0.0000  4 Ag 2.94-3.16, 4 Tb 3.14
10 Ag 0.5797 0.5000 0.6502  1 Zn 2.68, 1 Ag 2.92
11 Ag 0.8609 0.5000 0.1276  1 Zn 2.67, 1 Ag 2.94

Summary:
Uncorrected energy: -3.463 eV/atom

---

[2]
MgTe after structural relaxation, computed with PBE.

Lattice parameters (Å, degrees): 4.7296 4.7296 6.4676 90.00 90.00 90.00
Last column: nearest neighbours and their distance in Å.
Atoms (fractional coordinates):
1 Mg 0.2500 0.7500 0.0000  4 Te 2.85
2 Mg 0.7500 0.2500 0.0000  4 Te 2.85
3 Te 0.2500 0.2500 0.2466  4 Mg 2.85
4 Te 0.7500 0.7500 0.7534  4 Mg 2.85

Summary:
Uncorrected formation energy: -0.80 eV/atom

---

[3]
HfSnN3 after structural relaxation, computed with PBE.

Lattice parameters (Å, degrees): 4.0032 4.0032 4.0032 90.00 90.00 90.00
Last column: nearest neighbours and their distance in Å.
Atoms (fractional coordinates):
1 Hf 0.0000 0.0000 0.0000  12 N 2.83
2 Sn 0.5000 0.5000 0.5000  6 N 2.00
3 N 0.0000 0.5000 0.5000  2 Sn 2.00
4 N 0.5000 0.0000 0.5000  2 Sn 2.00
5 N 0.5000 0.5000 0.0000  2 Sn 2.00

Summary:
Uncorrected formation energy: 0.85 eV/atom

---

[4]
La6PaSe12 after structural relaxation, computed with PBE.

Lattice parameters (Å, degrees): 8.5542 8.5542 8.5542 98.84 98.84 98.84
Last column: nearest neighbours and their distance in Å.
Atoms (fractional coordinates):
1 La 0.1290 0.8046 0.6377  7 Se 2.98-3.26
2 La 0.1954 0.3623 0.8710  7 Se 2.98-3.26
3 La 0.3623 0.8710 0.1954  7 Se 2.98-3.26
4 La 0.6377 0.1290 0.8046  7 Se 2.98-3.26
5 La 0.8046 0.6377 0.1290  7 Se 2.98-3.26
6 La 0.8710 0.1954 0.3623  7 Se 2.98-3.26
7 Pa 0.5000 0.5000 0.5000  6 Se 2.77
8 Se 0.0636 0.9191 0.3212  4 La 2.98-3.09
9 Se 0.0809 0.6788 0.9364  4 La 2.98-3.09
10 Se 0.1811 0.4353 0.5343  1 Pa 2.77, 2 La 3.03-3.10
11 Se 0.3212 0.0636 0.9191  4 La 2.98-3.09
12 Se 0.4353 0.5343 0.1811  1 Pa 2.77, 2 La 3.03-3.10
13 Se 0.4657 0.8189 0.5647  1 Pa 2.77, 2 La 3.03-3.10
14 Se 0.5343 0.1811 0.4353  1 Pa 2.77, 2 La 3.03-3.10
15 Se 0.5647 0.4657 0.8189  1 Pa 2.77, 2 La 3.03-3.10
16 Se 0.6788 0.9364 0.0809  4 La 2.98-3.09
17 Se 0.8189 0.5647 0.4657  1 Pa 2.77, 2 La 3.03-3.10
18 Se 0.9191 0.3212 0.0636  4 La 2.98-3.09
19 Se 0.9364 0.0809 0.6788  4 La 2.98-3.09

Summary:
Uncorrected formation energy: -1.82 eV/atom

---

Please write out number 3 again, unchanged.
HfSnN3 after structural relaxation, computed with PBE.

Lattice parameters (Å, degrees): 4.0032 4.0032 4.0032 90.00 90.00 90.00
Last column: nearest neighbours and their distance in Å.
Atoms (fractional coordinates):
1 Hf 0.0000 0.0000 0.0000  12 N 2.83
2 Sn 0.5000 0.5000 0.5000  6 N 2.00
3 N 0.0000 0.5000 0.5000  2 Sn 2.00
4 N 0.5000 0.0000 0.5000  2 Sn 2.00
5 N 0.5000 0.5000 0.0000  2 Sn 2.00

Summary:
Uncorrected formation energy: 0.85 eV/atom